# 1
MgGeH3 | PBE | optimized geometry

Results
- Relative energy among the computed polymorphs: 63 meV per atom
- Crystal system: cubic
- N(E_F): 0.954 states/eV per cell

a = 3.840 Å, b = 3.840 Å, c = 3.840 Å
α = 90.00°, β = 90.00°, γ = 90.00°
Sites, in units of the cell vectors:
H 0.500 0.000 0.000
H 0.000 0.500 0.000
H 0.000 0.000 0.500
Ge 0.000 0.000 0.000
Mg 0.500 0.500 0.500

# 2
AcPmScAu | PBE | optimized geometry

Results
- ΔE_f: -2.1 kJ/mol of atoms
- Crystal system: cubic
- N(E_F): 5.418 states/eV per cell

a = 5.372 Å, b = 5.372 Å, c = 5.372 Å
α = 60.00°, β = 60.00°, γ = 60.00°
Sites, in units of the cell vectors:
Au 0.000 0.000 0.000
Sc 0.250 0.250 0.250
Ac 0.500 0.500 0.500
Pm 0.750 0.750 0.750

Which value of N(E_F) does entry 2 give? 5.418 states/eV per cell